(1)
La8Ir3I4Cl after structural relaxation. Source: Alexandria via LeMat-Bulk, functional PBE-GGA.

As for the energy relative to the elements, uncorrected: -1.1337 eV per atom.

The structure belongs to space group R-3m (No. 166, hexagonal axes); the cell edges are 8.6269, 8.6269 and 24.4915 Å and the angles 90.00°, 90.00° and 120.00°. The distinct sites, in fractional coordinates, are La at (0.0000, 0.0000, 0.2283), La at (0.0222, 0.5111, 0.7697), Ir at (0.0000, 0.5000, 0.5000), I at (0.0000, 0.0000, 0.0000), I at (0.0000, 0.5000, 0.0000) and Cl at (0.0000, 0.0000, 0.5000).

(2)
Zr2CdHg after structural relaxation. Source: Alexandria via LeMat-Bulk, functional PBE-GGA.

The polymorph energy (0 for the lowest one) comes out at 113.3 meV per atom.

The structure belongs to space group C2/m (No. 12); the cell edges are 10.645, 3.107 and 5.445 Å and the angles 90.00°, 99.17° and 90.00°. The distinct sites, in fractional coordinates, are Zr at (0.248, 0.000, 0.248), Cd at (0.000, 0.000, 0.500) and Hg at (0.000, 0.500, 0.000).

| no. | magnetic moment (μB/cell) |
| --- | --- |
| 1 | 0.00 |
| 2 | 0.00 |